# Ac2Zn7Ir

An optimized crystal structure of Ac2Zn7Ir (GGA-PBE, Alexandria).

Computed properties:
Density of states at the Fermi level, states/eV/f.u.: 6.46
Energy relative to the elements, eV/atom: -0.3023
E, eV/atom: -2.90
Spin magnetization, Bohr magnetons per cell: 0.000

abc: 4.4491 4.4491 10.4314
angles: 90.00 90.00 90.00
Atoms (fractional coordinates):
Ac: 0.5000 0.0000 0.7596
Ac: 0.0000 0.5000 0.2404
Zn: 0.0000 0.5000 0.8744
Zn: 0.5000 0.0000 0.3731
Zn: 0.5000 0.0000 0.1256
Zn: 0.0000 0.5000 0.6269
Zn: 0.0000 0.0000 0.5000
Zn: 0.0000 0.0000 0.0000
Zn: 0.5000 0.5000 0.5000
Ir: 0.5000 0.5000 0.0000